First-principles (PBE) data for an optimized crystal structure of ScSbAs, as listed in the Alexandria database.

a = 4.756 Å, b = 4.756 Å, c = 4.756 Å
α = 60.00°, β = 60.00°, γ = 60.00°
Fractional positions:
As 0.250 0.250 0.250
Sb 0.000 0.000 0.000
Sc 0.500 0.500 0.500

density of states at the Fermi level = 3.26 states/eV/cell
raw formation energy = -0.2250 eV/atom
space-group type = No. 216
polymorph energy (0 for the lowest one) = 435 meV/atom



First-principles (PBE) data for an optimized crystal structure of YV4, as listed in the Alexandria database.

a = 4.653 Å, b = 4.653 Å, c = 4.653 Å
α = 90.00°, β = 90.00°, γ = 90.00°
Last column: magnetic moment on the atom in μB.
Fractional positions:
Y 0.500 0.500 0.500  0.13
V 0.000 0.000 0.000  -2.45
V 0.500 0.000 0.500  1.09
V 0.000 0.500 0.500  1.09
V 0.500 0.500 0.000  1.09

density of states at the Fermi level = 8.28 states/eV/cell
ΔH_f (0 K) = 2099 meV per atom
space-group type = No. 221



First-principles (PBE) data for an optimized crystal structure of BeCoHg2, as listed in the Alexandria database.

a = 8.349 Å, b = 8.349 Å, c = 8.349 Å
α = 20.97°, β = 20.97°, γ = 20.97°
Last column: magnetic moment on the atom in μB.
Fractional positions:
Be 0.250 0.250 0.250  -0.02
Co 0.750 0.750 0.750  1.60
Hg 0.995 0.995 0.995  -0.03
Hg 0.505 0.505 0.505  -0.03

density of states at the Fermi level = 3.76 states/eV/cell
ΔH_f (0 K) = 596 meV per atom
space-group type = No. 166



First-principles (PBE) data for an optimized crystal structure of La2MgHRu, as listed in the Alexandria database.

a = 5.259 Å, b = 5.259 Å, c = 3.835 Å
α = 90.00°, β = 90.00°, γ = 90.00°
Fractional positions:
Ru 0.000 0.000 0.500
Mg 0.500 0.500 0.500
H 0.000 0.000 0.000
La 0.000 0.500 0.000
La 0.500 0.000 0.000

density of states at the Fermi level = 2.43 states/eV/cell
space-group type = No. 123
polymorph energy (0 for the lowest one) = 0 meV/atom



Which formula does entry 3 have?
BeCoHg2